Below is crystalline Li2MnO2F at its relaxed geometry, with properties calculated at the PBE with a Hubbard U level.

Computed properties:
**Electronic total energy**: -5.9634 eV per atom
**Space group**: Cmcm (63)

abc: 3.961 3.911 7.751
angles: 90.00 104.81 90.00
Last column: magnetic moment on the atom in μB.
Fractional positions:
O 0.067 0.750 0.134  -0.03
O 0.591 0.250 0.182  -0.04
O 0.933 0.250 0.866  -0.03
O 0.409 0.750 0.818  -0.04
F 0.233 0.250 0.467  0.02
F 0.767 0.750 0.533  0.02
Li 0.728 0.250 0.455  0.00
Li 0.432 0.250 0.864  0.00
Li 0.272 0.750 0.545  0.00
Li 0.568 0.750 0.136  0.00
Mn 0.918 0.750 0.836  3.93
Mn 0.082 0.250 0.164  3.93